Entry 1:
# Tl2FeCoBr, relaxed, DFT PBE
# E_form (uncorrected) = 0.87 eV/atom
# DOS at the Fermi energy = 0.77 states/eV/atom
# Electronic total energy = -3.5291 eV/atom
data_Tl2FeCoBr
_cell_length_a 5.300
_cell_length_b 5.300
_cell_length_c 4.514
_cell_angle_alpha 90.00
_cell_angle_beta 90.00
_cell_angle_gamma 90.00
_symmetry_space_group_name_H-M 'P 4/m m m'
_symmetry_Int_Tables_number 123
_symmetry_space_group_name_Hall '-P 4 2'
loop_
_atom_site_label
_atom_site_fract_x
_atom_site_fract_y
_atom_site_fract_z
Tl1 0.000 0.500 0.000
Fe1 0.000 0.000 0.000
Co1 0.500 0.500 0.500
Br1 0.000 0.000 0.500

---

Entry 2:
# TbHo2Tm5, relaxed, DFT PBE
# Offset from the most stable computed form = 0 meV per atom
# DOS at the Fermi energy = 1.41 states/eV/atom
# Electronic total energy = -4.4934 eV/atom
data_TbHo2Tm5
_cell_length_a 6.996
_cell_length_b 6.996
_cell_length_c 9.885
_cell_angle_alpha 90.00
_cell_angle_beta 90.00
_cell_angle_gamma 90.00
_symmetry_space_group_name_H-M 'I 4/m m m'
_symmetry_Int_Tables_number 139
_symmetry_space_group_name_Hall '-I 4 2'
loop_
_atom_site_label
_atom_site_fract_x
_atom_site_fract_y
_atom_site_fract_z
Tb1 0.000 0.000 0.000
Ho1 0.000 0.500 0.000
Tm1 0.000 0.000 0.500
Tm2 0.250 0.250 0.250

---

Entry 3:
# Hf4AlTe, relaxed, DFT PBE
# E_form (uncorrected) = -0.17 eV/atom
# DOS at the Fermi energy = 1.02 states/eV/atom
# Electronic total energy = -7.9502 eV/atom
data_Hf4AlTe
_cell_length_a 4.647
_cell_length_b 21.363
_cell_length_c 5.840
_cell_angle_alpha 90.00
_cell_angle_beta 90.00
_cell_angle_gamma 90.00
_symmetry_space_group_name_H-M 'C m c 21'
_symmetry_Int_Tables_number 36
loop_
_symmetry_equiv_pos_as_xyz
'x,y,z'
'-x,-y,z+1/2'
'-x,y,z'
'x,-y,z+1/2'
'x+1/2,y+1/2,z'
'-x+1/2,-y+1/2,z+1/2'
'-x+1/2,y+1/2,z'
'x+1/2,-y+1/2,z+1/2'
loop_
_atom_site_label
_atom_site_fract_x
_atom_site_fract_y
_atom_site_fract_z
Hf1 0.000 0.088 0.000
Hf2 0.000 0.194 0.409
Hf3 0.000 0.222 0.914
Hf4 0.000 0.361 0.164
Al1 0.000 0.337 0.634
Te1 0.000 0.054 0.515

---

Entry 4:
# Li2TbTm2Si2, relaxed, DFT PBE
# E_form (uncorrected) = -0.39 eV/atom
# DOS at the Fermi energy = 0.43 states/eV/atom
# Electronic total energy = -4.4238 eV/atom
data_Li2TbTm2Si2
_cell_length_a 4.4239
_cell_length_b 4.4239
_cell_length_c 25.9480
_cell_angle_alpha 90.00
_cell_angle_beta 90.00
_cell_angle_gamma 120.00
_symmetry_space_group_name_H-M 'R -3 m'
_symmetry_Int_Tables_number 166
_symmetry_space_group_name_Hall '-R 3 2"'
loop_
_atom_site_label
_atom_site_fract_x
_atom_site_fract_y
_atom_site_fract_z
Li1 0.0000 0.0000 0.0978
Tb1 0.0000 0.0000 0.5000
Tm1 0.0000 0.0000 0.3723
Si1 0.0000 0.0000 0.2388